Compound: BaCa2La
Source: the Alexandria database
Functional: PBE
Structure: relaxed

Lattice parameters (Å, degrees): 7.835 7.835 7.835 102.49 102.49 124.56
Atoms (fractional coordinates):
Ba 0.000 0.000 0.000
Ba 0.750 0.250 0.500
Ca 0.131 0.625 0.006
Ca 0.375 0.381 0.506
Ca 0.619 0.125 0.994
Ca 0.875 0.869 0.494
La 0.250 0.750 0.500
La 0.500 0.500 0.000

Properties
**Total energy**: -2.373 eV per atom
**Magnetization**: 0.2 μB/f.u.
**ΔE to the lowest computed polymorph**: 266.4 meV/atom
**Space group**: I-42d, No. 122
**N(E_F)**: 1.42 states/eV per atom